# 1
This record from the Alexandria database describes a relaxed LuSb2 crystal. The functional is PBE.

Values from the calculation:
ΔE_f (raw)	-0.561	eV per atom

Lattice parameters (Å, degrees): 5.5675 5.5751 9.9164 90.00 90.00 90.00
With the nearest neighbours (Å) after each atom.
Element x y z (fractional)
Lu 0.0000 0.0000 0.0000  10 Sb 3.18-3.42
Lu 0.0000 0.5000 0.5000  10 Sb 3.18-3.42
Lu 0.5000 0.0000 0.5000  10 Sb 3.18-3.42
Lu 0.5000 0.5000 0.0000  10 Sb 3.18-3.42
Sb 0.0000 0.0000 0.3450  5 Sb 3.07-3.36, 5 Lu 3.18-3.42
Sb 0.0000 0.0000 0.6550  5 Sb 3.07-3.36, 5 Lu 3.18-3.42
Sb 0.0000 0.5000 0.1550  5 Sb 3.07-3.36, 5 Lu 3.18-3.42
Sb 0.0000 0.5000 0.8450  5 Sb 3.07-3.36, 5 Lu 3.18-3.42
Sb 0.5000 0.0000 0.1550  5 Sb 3.07-3.36, 5 Lu 3.18-3.42
Sb 0.5000 0.0000 0.8450  5 Sb 3.07-3.36, 5 Lu 3.18-3.42
Sb 0.5000 0.5000 0.3450  5 Sb 3.07-3.36, 5 Lu 3.18-3.42
Sb 0.5000 0.5000 0.6550  5 Sb 3.07-3.36, 5 Lu 3.18-3.42

=====

# 2
This record from the Alexandria database describes a relaxed Cs2HNCl6 crystal. The functional is PBE.

Lattice parameters (Å, degrees): 7.6193 7.6193 7.6193 129.91 129.91 73.55
With the nearest neighbours (Å) after each atom.
Element x y z (fractional)
Cs 0.2500 0.7500 0.5000  4 Cl 3.33
Cs 0.7500 0.2500 0.5000  4 Cl 3.33
H 0.0000 0.0000 0.0000  4 Cl 2.19
N 0.5000 0.5000 0.0000  6 Cl 2.21-2.37
Cl 0.2397 0.2397 0.4794  1 H 2.19, 1 N 2.37
Cl 0.2397 0.7603 0.0000  1 H 2.19, 1 N 2.37
Cl 0.3187 0.3187 0.0000  1 N 2.21
Cl 0.6813 0.6813 0.0000  1 N 2.21
Cl 0.7603 0.2397 0.0000  1 H 2.19, 1 N 2.37
Cl 0.7603 0.7603 0.5206  1 H 2.19, 1 N 2.37

=====

Across the entries above, uncorrected energy takes the values -4.8167, -2.6423 eV/atom, respectively.
Across the entries above, M_tot takes the values 0.00, 0.00 Bohr magnetons per cell, respectively.